Record 1
{
  "formula": "Mo2OsW",
  "functional": "GGA-PBE",
  "state": "optimized geometry",
  "lattice_angstrom": [[-1.539, 4.031, 2.370], [-4.241, -0.818, 2.361], [4.299, -2.396, -0.108]],
  "species": ["Os", "Mo", "Mo", "W"],
  "fractional_positions": [[0.250, 0.750, 0.500], [0.000, 0.000, 0.000], [0.500, 0.500, 0.000], [0.750, 0.250, 0.500]],
  "sg": "I4/mmm",
  "dos_ef_per_ev_cell": 3.89
}



Record 2
{
  "formula": "MoOsW",
  "functional": "GGA-PBE",
  "state": "optimized geometry",
  "lattice_angstrom": [[4.870, -0.017, 0.010], [2.488, 4.187, -0.010], [-3.293, -2.766, 2.285]],
  "species": ["W", "Mo", "Os"],
  "fractional_positions": [[0.671, 0.671, 0.000], [0.996, 0.996, 0.000], [0.333, 0.333, 0.000]],
  "sg": "Imm2",
  "dos_ef_per_ev_cell": 2.80
}



Record 3
{
  "formula": "Mo2OsW",
  "functional": "GGA-PBE",
  "state": "optimized geometry",
  "lattice_angstrom": [[3.114, 0.000, 0.000], [0.000, 4.457, 0.000], [0.000, 0.000, 4.496]],
  "species": ["Mo", "Mo", "Os", "W"],
  "fractional_positions": [[0.000, 0.000, 0.000], [0.500, 0.500, 0.000], [0.500, 0.000, 0.500], [0.000, 0.500, 0.500]],
  "sg": "Pmmm",
  "dos_ef_per_ev_cell": 4.59
}



Record 4
{
  "formula": "MoOs4W",
  "functional": "GGA-PBE",
  "state": "optimized geometry",
  "lattice_angstrom": [[0.000, 3.605, 3.605], [3.605, 0.000, 3.605], [3.605, 3.605, 0.000]],
  "species": ["W", "Os", "Os", "Os", "Os", "Mo"],
  "fractional_positions": [[0.750, 0.750, 0.750], [0.375, 0.375, 0.375], [0.375, 0.375, 0.875], [0.375, 0.875, 0.375], [0.875, 0.375, 0.375], [0.000, 0.000, 0.000]],
  "sg": "F-43m",
  "dos_ef_per_ev_cell": 7.15
}



Record 5
{
  "formula": "Mo2OsW",
  "functional": "GGA-PBE",
  "state": "optimized geometry",
  "lattice_angstrom": [[5.224, -0.003, 0.002], [2.382, 4.649, -0.002], [-3.333, -3.092, 2.572]],
  "species": ["W", "Mo", "Mo", "Os"],
  "fractional_positions": [[0.250, 0.750, 0.500], [0.010, 0.010, 0.000], [0.490, 0.490, 0.000], [0.750, 0.250, 0.500]],
  "sg": "Immm",
  "dos_ef_per_ev_cell": 3.12
}



Record 6
{
  "formula": "MoOsW",
  "functional": "GGA-PBE",
  "state": "optimized geometry",
  "lattice_angstrom": [[-0.393, -4.488, -2.593], [3.728, -2.783, -2.320], [-1.327, 2.509, 4.355]],
  "species": ["W", "Os", "Mo"],
  "fractional_positions": [[0.664, 0.664, 0.000], [0.330, 0.330, 0.000], [0.006, 0.006, 0.000]],
  "sg": "I4mm",
  "dos_ef_per_ev_cell": 2.78
}



Record 7
{
  "formula": "MoOsW",
  "functional": "GGA-PBE",
  "state": "optimized geometry",
  "lattice_angstrom": [[6.930, -0.014, 0.010], [6.216, 2.635, 0.028], [0.714, -0.748, 2.541]],
  "species": ["Os", "W", "Mo"],
  "fractional_positions": [[0.667, 0.667, 0.333], [0.331, 0.331, 0.669], [0.002, 0.002, 0.998]],
  "sg": "Fmm2",
  "dos_ef_per_ev_cell": 4.32
}



Record 8
{
  "formula": "Mo2OsW",
  "functional": "GGA-PBE",
  "state": "optimized geometry",
  "lattice_angstrom": [[-6.192, 3.236, 1.811], [-1.036, -4.893, 5.203], [-2.327, 0.690, 5.191]],
  "species": ["Mo", "Mo", "Mo", "Mo", "W", "W", "Os", "Os"],
  "fractional_positions": [[0.638, 0.125, 0.250], [0.375, 0.362, 0.750], [0.112, 0.625, 0.250], [0.875, 0.888, 0.750], [0.500, 0.500, 0.000], [0.250, 0.750, 0.500], [0.000, 0.000, 0.000], [0.750, 0.250, 0.500]],
  "sg": "I-42d",
  "dos_ef_per_ev_cell": 7.16
}



Across the entries above, energy takes the values -0.41288; -0.42195; -0.41582; -0.40543; -0.41677; -0.42009; -0.42012; -0.38928 Ha/atom, respectively.
Across the entries above, magnetization takes the values 0.0; 0.0; 0.0; 0.0; 0.0; 0.0; 0.0; 0.0 μB per formula unit, respectively.
Across the entries above, ΔE_f takes the values 0.23; 0.19; 0.15; 0.42; 0.12; 0.24; 0.24; 0.87 eV/atom, respectively.